# Sr2CoP | Alexandria | PBE | relaxed
data_Sr2CoP
_space_group_name_H-M_alt 'P 1'
_space_group_IT_number 1
_space_group_name_Hall 'P 1'
_cell_length_a 6.152
_cell_length_b 6.152
_cell_length_c 6.152
_cell_angle_alpha 138.35
_cell_angle_beta 138.35
_cell_angle_gamma 60.36
loop_
_atom_site_label
_atom_site_fract_x
_atom_site_fract_y
_atom_site_fract_z
P1 0.750 0.250 0.500
Sr1 0.000 0.000 0.000
Sr2 0.250 0.750 0.500
Co1 0.500 0.500 0.000
# Energy = -3.888 eV/atom